VASP calculation (PBE-GGA) on a geometry-optimized Sr3PmHo2Te6 structure.

Properties
Formation energy without anion corrections in eV/f.u.: -18.0

Unit cell a=7.7958 b=7.7958 c=7.9865 alpha=99.39 beta=99.39 gamma=119.93
Closest atoms and distances in Å follow each position.
Atoms (fractional coordinates):
Sr (0.0000, 0.0000, 0.0000)  6 Te 3.26-3.31
Sr (0.3363, 0.6637, 0.0000)  6 Te 3.27-3.31
Sr (0.6637, 0.3363, 0.0000)  6 Te 3.27-3.31
Pm (0.5000, 0.5000, 0.5000)  6 Te 3.18
Ho (0.1678, 0.8322, 0.5000)  6 Te 3.11-3.12
Ho (0.8322, 0.1678, 0.5000)  6 Te 3.11-3.12
Te (0.0818, 0.4220, 0.2668)  2 Ho 3.11-3.12, 1 Pm 3.18, 3 Sr 3.27-3.31
Te (0.2361, 0.2361, 0.7306)  2 Ho 3.12, 1 Pm 3.18, 3 Sr 3.26-3.30
Te (0.4220, 0.0818, 0.2668)  2 Ho 3.11-3.12, 1 Pm 3.18, 3 Sr 3.27-3.31
Te (0.5780, 0.9182, 0.7332)  2 Ho 3.11-3.12, 1 Pm 3.18, 3 Sr 3.27-3.31
Te (0.7639, 0.7639, 0.2694)  2 Ho 3.12, 1 Pm 3.18, 3 Sr 3.26-3.30
Te (0.9182, 0.5780, 0.7332)  2 Ho 3.11-3.12, 1 Pm 3.18, 3 Sr 3.27-3.31


VASP calculation (PBE-GGA) on a geometry-optimized Nb2GaBr2 structure.

Properties
Formation energy without anion corrections in eV/f.u.: 1.7
Excess energy over the best structure of this formula in the dataset in eV per atom: 0.000

Unit cell a=5.5235 b=5.5235 c=5.5235 alpha=123.14 beta=123.14 gamma=84.64
Closest atoms and distances in Å follow each position.
Atoms (fractional coordinates):
Nb (0.1406, 0.1406, 0.0000)  1 Nb 2.30
Nb (0.8594, 0.8594, 0.0000)  1 Nb 2.30
Ga (0.5000, 0.5000, 0.0000)  2 Nb 2.94
Br (0.2500, 0.7500, 0.5000)  4 Nb 2.78
Br (0.7500, 0.2500, 0.5000)  4 Nb 2.78


VASP calculation (PBE-GGA) on a geometry-optimized SrLiOs4 structure.

Properties
E_form in eV/atom: 0.517

Unit cell a=5.3306 b=5.3306 c=5.3306 alpha=60.00 beta=60.00 gamma=60.00
Closest atoms and distances in Å follow each position.
Atoms (fractional coordinates):
Sr (0.0000, 0.0000, 0.0000)  12 Os 3.13, 4 Li 3.26
Li (0.7500, 0.7500, 0.7500)  12 Os 3.12, 4 Sr 3.26
Os (0.3756, 0.3756, 0.3756)  6 Os 2.65-2.68
Os (0.3756, 0.3756, 0.8731)  6 Os 2.65-2.68
Os (0.3756, 0.8731, 0.3756)  6 Os 2.65-2.68
Os (0.8731, 0.3756, 0.3756)  6 Os 2.65-2.68


VASP calculation (PBE-GGA) on a geometry-optimized Ba2PPdRu structure.

Properties
E_form in eV/atom: -0.632

Unit cell a=4.2444 b=4.2444 c=15.9249 alpha=90.00 beta=90.00 gamma=90.00
Closest atoms and distances in Å follow each position.
Atoms (fractional coordinates):
Ba (0.2500, 0.2500, 0.0918)  4 Pd 3.05
Ba (0.2500, 0.2500, 0.6713)  1 Pd 3.22, 4 P 3.41, 4 Ru 3.46
Ba (0.7500, 0.7500, 0.3287)  1 Pd 3.22, 4 P 3.41, 4 Ru 3.46
Ba (0.7500, 0.7500, 0.9082)  4 Pd 3.05
P (0.2500, 0.2500, 0.4302)  4 Ru 2.40
P (0.7500, 0.7500, 0.5698)  4 Ru 2.40
Pd (0.2500, 0.2500, 0.8734)  5 Ba 3.05-3.22
Pd (0.7500, 0.7500, 0.1266)  5 Ba 3.05-3.22
Ru (0.2500, 0.7500, 0.5000)  4 P 2.40
Ru (0.7500, 0.2500, 0.5000)  4 P 2.40


VASP calculation (PBE-GGA) on a geometry-optimized NaB2O3 structure.

Properties
Formation energy without anion corrections in eV/f.u.: -9.0

Unit cell a=5.7014 b=5.7014 c=4.3668 alpha=90.00 beta=90.00 gamma=109.24
Closest atoms and distances in Å follow each position.
Atoms (fractional coordinates):
Na (0.1984, 0.8016, 0.7500)  4 O 2.60-2.77
Na (0.8016, 0.1984, 0.2500)  4 O 2.60-2.77
B (0.3677, 0.3677, 0.0000)  2 O 1.42
B (0.3677, 0.3677, 0.5000)  2 O 1.42
B (0.6323, 0.6323, 0.0000)  2 O 1.42
B (0.6323, 0.6323, 0.5000)  2 O 1.42
O (0.2003, 0.3166, 0.7500)  2 B 1.42
O (0.3166, 0.2003, 0.2500)  2 B 1.42
O (0.3501, 0.6499, 0.2500)  4 B 1.97
O (0.6499, 0.3501, 0.7500)  4 B 1.97
O (0.6834, 0.7997, 0.7500)  2 B 1.42
O (0.7997, 0.6834, 0.2500)  2 B 1.42


VASP calculation (PBE-GGA) on a geometry-optimized Ba2TcAuN structure.

Properties
Formation energy without anion corrections in eV/f.u.: -1.6

Unit cell a=5.8415 b=5.8415 c=3.8744 alpha=90.00 beta=90.00 gamma=90.00
Closest atoms and distances in Å follow each position.
Atoms (fractional coordinates):
Ba (0.0000, 0.5000, 0.0000)  2 N 2.92
Ba (0.5000, 0.0000, 0.0000)  2 N 2.92
Tc (0.0000, 0.0000, 0.5000)  2 N 1.94
Au (0.5000, 0.5000, 0.5000)  8 Ba 3.50, 2 Au 3.87
N (0.0000, 0.0000, 0.0000)  2 Tc 1.94


VASP calculation (PBE-GGA) on a geometry-optimized La3AgCl structure.

Properties
Formation energy without anion corrections in eV/f.u.: -3.4
Excess energy over the best structure of this formula in the dataset in eV per atom: 0.000

Unit cell a=9.6037 b=4.0356 c=15.8180 alpha=90.00 beta=90.00 gamma=90.00
Closest atoms and distances in Å follow each position.
Atoms (fractional coordinates):
La (0.0184, 0.2500, 0.1034)  3 Cl 2.95-2.96
La (0.1549, 0.2500, 0.5465)  2 Cl 2.96, 2 Ag 3.17
La (0.1626, 0.7500, 0.2907)  1 Cl 2.86
La (0.3374, 0.2500, 0.7907)  1 Cl 2.86
La (0.3451, 0.7500, 0.0465)  2 Cl 2.96, 2 Ag 3.17
La (0.4816, 0.7500, 0.6034)  3 Cl 2.95-2.96
La (0.5184, 0.2500, 0.3966)  3 Cl 2.95-2.96
La (0.6549, 0.2500, 0.9535)  2 Cl 2.96, 2 Ag 3.17
La (0.6626, 0.7500, 0.2093)  1 Cl 2.86
La (0.8374, 0.2500, 0.7093)  1 Cl 2.86
La (0.8451, 0.7500, 0.4535)  2 Cl 2.96, 2 Ag 3.17
La (0.9816, 0.7500, 0.8966)  3 Cl 2.95-2.96
Ag (0.1137, 0.7500, 0.6987)  7 La 3.17-3.38
Ag (0.3863, 0.2500, 0.1987)  7 La 3.17-3.38
Ag (0.6137, 0.7500, 0.8013)  7 La 3.17-3.38
Ag (0.8863, 0.2500, 0.3013)  7 La 3.17-3.38
Cl (0.1891, 0.2500, 0.9478)  6 La 2.86-2.96
Cl (0.3109, 0.7500, 0.4478)  6 La 2.86-2.96
Cl (0.6891, 0.2500, 0.5522)  6 La 2.86-2.96
Cl (0.8109, 0.7500, 0.0522)  6 La 2.86-2.96


VASP calculation (PBE-GGA) on a geometry-optimized Cs2PuCuSe4 structure.

Properties
Formation energy without anion corrections in eV/f.u.: -6.8

Unit cell a=15.2439 b=13.6640 c=8.1244 alpha=84.75 beta=63.20 gamma=32.05
Closest atoms and distances in Å follow each position.
Atoms (fractional coordinates):
Cs (0.0536, 0.0536, 0.6964)  8 Se 3.81-4.10
Cs (0.3036, 0.3036, 0.9464)  8 Se 3.81-4.10
Cs (0.6964, 0.6964, 0.0536)  8 Se 3.81-4.10
Cs (0.9464, 0.9464, 0.3036)  8 Se 3.81-4.10
Pu (0.1250, 0.1250, 0.1250)  4 Se 2.66
Pu (0.8750, 0.8750, 0.8750)  4 Se 2.66
Cu (0.3750, 0.3750, 0.3750)  4 Se 2.46
Cu (0.6250, 0.6250, 0.6250)  4 Se 2.46
Se (0.0014, 0.6473, 0.5507)  1 Cu 2.46, 1 Pu 2.66
Se (0.3006, 0.5507, 0.6473)  1 Cu 2.46, 1 Pu 2.66
Se (0.3527, 0.9986, 0.6994)  1 Cu 2.46, 1 Pu 2.66
Se (0.4493, 0.6994, 0.9986)  1 Cu 2.46, 1 Pu 2.66
Se (0.5507, 0.3006, 0.0014)  1 Cu 2.46, 1 Pu 2.66
Se (0.6473, 0.0014, 0.3006)  1 Cu 2.46, 1 Pu 2.66
Se (0.6994, 0.4493, 0.3527)  1 Cu 2.46, 1 Pu 2.66
Se (0.9986, 0.3527, 0.4493)  1 Cu 2.46, 1 Pu 2.66


VASP calculation (PBE-GGA) on a geometry-optimized CoOs2Ru structure.

Properties
Excess energy over the best structure of this formula in the dataset in eV per atom: 0.021
E_form in eV/atom: 0.162

Unit cell a=4.5976 b=4.5976 c=4.6283 alpha=99.49 beta=99.49 gamma=33.86
Closest atoms and distances in Å follow each position.
Atoms (fractional coordinates):
Co (0.0000, 0.0000, 0.0000)  6 Os 2.64-2.65, 4 Ru 2.67, 2 Co 2.68
Os (0.2503, 0.2503, 0.7584)  6 Os 2.61-2.74, 3 Co 2.64-2.65, 3 Ru 2.68
Os (0.7497, 0.7497, 0.2416)  6 Os 2.61-2.74, 3 Co 2.64-2.65, 3 Ru 2.68
Ru (0.5000, 0.5000, 0.5000)  4 Co 2.67, 6 Os 2.68, 2 Ru 2.68


VASP calculation (PBE-GGA) on a geometry-optimized AlCdOs2 structure.

Properties
Excess energy over the best structure of this formula in the dataset in eV per atom: 0.317
E_form in eV/atom: 0.416

Unit cell a=4.7506 b=4.7506 c=4.7506 alpha=129.52 beta=129.52 gamma=74.17
Closest atoms and distances in Å follow each position.
Atoms (fractional coordinates):
Al (0.0000, 0.0000, 0.0000)  8 Os 2.77-2.86, 4 Cd 2.77
Cd (0.2500, 0.7500, 0.5000)  8 Os 2.77-2.86, 4 Al 2.77
Os (0.5000, 0.5000, 0.0000)  4 Cd 2.77, 4 Os 2.77, 4 Al 2.86
Os (0.7500, 0.2500, 0.5000)  4 Os 2.77, 4 Al 2.77, 4 Cd 2.86


VASP calculation (PBE-GGA) on a geometry-optimized SrTlBr2 structure.

Properties
Formation energy without anion corrections in eV/f.u.: -4.5
Excess energy over the best structure of this formula in the dataset in eV per atom: 0.225

Unit cell a=5.8886 b=5.8886 c=5.1011 alpha=109.36 beta=109.36 gamma=100.27
Closest atoms and distances in Å follow each position.
Atoms (fractional coordinates):
Sr (0.0000, 0.0000, 0.0000)  4 Br 3.19
Tl (0.5000, 0.5000, 0.0000)  4 Br 3.19
Br (0.0000, 0.5000, 0.5000)  2 Tl 3.19, 2 Sr 3.19
Br (0.5000, 0.0000, 0.5000)  2 Tl 3.19, 2 Sr 3.19


VASP calculation (PBE-GGA) on a geometry-optimized AgMoRu2 structure.

Properties
Excess energy over the best structure of this formula in the dataset in eV per atom: 0.168
E_form in eV/atom: 0.367

Unit cell a=2.7193 b=2.7193 c=9.2575 alpha=90.00 beta=90.00 gamma=113.98
Closest atoms and distances in Å follow each position.
Atoms (fractional coordinates):
Ag (0.0000, 0.0000, 0.0000)  6 Ag 2.72-2.96, 4 Ru 2.89
Mo (0.0000, 0.0000, 0.5000)  4 Ru 2.61, 4 Mo 2.72
Ru (0.5000, 0.5000, 0.2675)  2 Mo 2.61, 4 Ru 2.72, 2 Ag 2.89
Ru (0.5000, 0.5000, 0.7325)  2 Mo 2.61, 4 Ru 2.72, 2 Ag 2.89


VASP calculation (PBE-GGA) on a geometry-optimized MnMo2 structure.

Properties
E_form in eV/atom: 0.122

Unit cell a=6.5715 b=6.5715 c=4.3560 alpha=90.00 beta=90.00 gamma=152.36
Closest atoms and distances in Å follow each position.
Atoms (fractional coordinates):
Mn (0.0816, 0.9184, 0.7500)  8 Mo 2.58-2.68
Mn (0.9184, 0.0816, 0.2500)  8 Mo 2.58-2.68
Mo (0.2487, 0.7513, 0.2500)  6 Mo 2.67-2.68, 2 Mn 2.68
Mo (0.4208, 0.5792, 0.7500)  6 Mn 2.58-2.68, 2 Mo 2.67
Mo (0.5792, 0.4208, 0.2500)  6 Mn 2.58-2.68, 2 Mo 2.67
Mo (0.7513, 0.2487, 0.7500)  6 Mo 2.67-2.68, 2 Mn 2.68


VASP calculation (PBE-GGA) on a geometry-optimized Al2GaW structure.

Properties
E_form in eV/atom: 0.099

Unit cell a=10.0096 b=10.0096 c=10.0096 alpha=16.33 beta=16.33 gamma=16.33
Closest atoms and distances in Å follow each position.
Atoms (fractional coordinates):
Al (0.0911, 0.0911, 0.0911)  1 Ga 2.70, 3 W 2.78, 6 Al 2.84
Al (0.9089, 0.9089, 0.9089)  1 Ga 2.70, 3 W 2.78, 6 Al 2.84
Ga (0.0000, 0.0000, 0.0000)  2 Al 2.70, 6 Ga 2.84
W (0.5000, 0.5000, 0.5000)  6 Al 2.78, 6 W 2.84